VASP calculation (PBE-GGA) on a relaxed structure of Sm3Er5S12.

Results
Its volume is 2091.9 Å³/cell. The space group is Ia-3d, No. 230. The spin magnetization comes out at 0.00 μB/cell. The value obtained for the formation energy (no corrections) is -1.904 eV per atom.

a b c (Å): 13.9546 13.9546 13.9546
angles (deg): 109.47 109.47 109.47
Fractional coordinates of all 80 atoms:
Sm  0.1250  0.2500  0.3750
Sm  0.1250  0.3750  0.7500
Sm  0.2500  0.3750  0.1250
Sm  0.2500  0.8750  0.6250
Sm  0.3750  0.1250  0.2500
Sm  0.3750  0.7500  0.1250
Sm  0.6250  0.2500  0.8750
Sm  0.6250  0.8750  0.7500
Sm  0.7500  0.1250  0.3750
Sm  0.7500  0.6250  0.8750
Sm  0.8750  0.6250  0.2500
Sm  0.8750  0.7500  0.6250
Er  0.0000  0.0000  0.0000
Er  0.0000  0.0000  0.5000
Er  0.0000  0.5000  0.0000
Er  0.0000  0.5000  0.5000
Er  0.1250  0.7500  0.8750
Er  0.1250  0.8750  0.2500
Er  0.2500  0.1250  0.8750
Er  0.2500  0.6250  0.3750
Er  0.3750  0.2500  0.6250
Er  0.3750  0.6250  0.7500
Er  0.5000  0.0000  0.0000
Er  0.5000  0.0000  0.5000
Er  0.5000  0.5000  0.0000
Er  0.5000  0.5000  0.5000
Er  0.6250  0.3750  0.2500
Er  0.6250  0.7500  0.3750
Er  0.7500  0.3750  0.6250
Er  0.7500  0.8750  0.1250
Er  0.8750  0.1250  0.7500
Er  0.8750  0.2500  0.1250
S  0.0459  0.2205  0.1300
S  0.0459  0.3253  0.9159
S  0.0841  0.6300  0.4094
S  0.0841  0.9541  0.6747
S  0.0906  0.7205  0.6747
S  0.0906  0.8700  0.4159
S  0.1300  0.0459  0.2205
S  0.1300  0.5841  0.9094
S  0.1747  0.2205  0.5906
S  0.1747  0.4541  0.5841
S  0.2205  0.1300  0.0459
S  0.2205  0.5906  0.1747
S  0.2795  0.3253  0.9094
S  0.2795  0.4541  0.3700
S  0.3253  0.9094  0.2795
S  0.3253  0.9159  0.0459
S  0.3700  0.2795  0.4541
S  0.3700  0.5906  0.9159
S  0.4094  0.0841  0.6300
S  0.4094  0.8253  0.7795
S  0.4159  0.0906  0.8700
S  0.4159  0.8253  0.5459
S  0.4541  0.3700  0.2795
S  0.4541  0.5841  0.1747
S  0.5459  0.4159  0.8253
S  0.5459  0.6300  0.7205
S  0.5841  0.1747  0.4541
S  0.5841  0.9094  0.1300
S  0.5906  0.1747  0.2205
S  0.5906  0.9159  0.3700
S  0.6300  0.4094  0.0841
S  0.6300  0.7205  0.5459
S  0.6747  0.0841  0.9541
S  0.6747  0.0906  0.7205
S  0.7205  0.5459  0.6300
S  0.7205  0.6747  0.0906
S  0.7795  0.4094  0.8253
S  0.7795  0.8700  0.9541
S  0.8253  0.5459  0.4159
S  0.8253  0.7795  0.4094
S  0.8700  0.4159  0.0906
S  0.8700  0.9541  0.7795
S  0.9094  0.1300  0.5841
S  0.9094  0.2795  0.3253
S  0.9159  0.0459  0.3253
S  0.9159  0.3700  0.5906
S  0.9541  0.6747  0.0841
S  0.9541  0.7795  0.8700

=====

VASP calculation (PBE-GGA) on a relaxed structure of Zr5Ge3.

Results
Its volume is 319.0 Å³/cell. The space group is I4/mcm, No. 140. The spin magnetization comes out at 0.00 μB/cell. As for the calculated formation energy: -581 kJ/mol of formula units.

a b c (Å): 8.0493 8.0493 8.0493
angles (deg): 127.42 127.42 77.57
Fractional coordinates of all 16 atoms:
Zr  0.0000  0.0000  0.0000
Zr  0.0099  0.5099  0.8219
Zr  0.1880  0.0099  0.5000
Zr  0.3120  0.8120  0.8219
Zr  0.4901  0.3120  0.5000
Zr  0.5000  0.5000  0.0000
Zr  0.5099  0.6880  0.5000
Zr  0.6880  0.1880  0.1781
Zr  0.8120  0.9901  0.5000
Zr  0.9901  0.4901  0.1781
Ge  0.1359  0.3641  0.5000
Ge  0.2500  0.2500  0.0000
Ge  0.3641  0.8641  0.2282
Ge  0.6359  0.1359  0.7718
Ge  0.7500  0.7500  0.0000
Ge  0.8641  0.6359  0.5000

=====

VASP calculation (PBE-GGA) on a relaxed structure of RbTb2Ni.

Results
Its volume is 159.3 Å³/cell. The space group is R-3m, No. 166. The spin magnetization comes out at 0.00 μB/cell. As for the calculated formation energy: 15 kJ/mol of formula units.

a b c (Å): 11.4136 11.4136 11.4136
angles (deg): 20.48 20.48 20.48
Fractional coordinates of all 4 atoms:
Rb  0.0000  0.0000  0.0000
Tb  0.1259  0.1259  0.1259
Tb  0.8741  0.8741  0.8741
Ni  0.5000  0.5000  0.5000

=====

VASP calculation (PBE-GGA) on a relaxed structure of ScRu2Br.

Results
Its volume is 76.9 Å³/cell. The space group is Pm, No. 6. The spin magnetization comes out at 0.00 μB/cell. The value obtained for the formation energy (no corrections) is -0.081 eV per atom.

a b c (Å): 3.1217 3.4806 7.2453
angles (deg): 90.00 102.37 90.00
Fractional coordinates of all 4 atoms:
Sc  0.0000  0.0000  0.0000
Ru  0.3769  0.5000  0.7543
Ru  0.8085  0.0000  0.6161
Br  0.6210  0.5000  0.2437